[1]
# LaPbBr2

A geometry-optimized LaPbBr2 structure (PBE-GGA, Alexandria via LeMat-Bulk).

a = 5.6112 Å, b = 4.1009 Å, c = 5.8401 Å
α = 69.47°, β = 90.00°, γ = 90.00°
Fractional positions:
Pb 0.5000 0.7197 0.6851
Br 0.0000 0.0218 0.0810
Br 0.5000 0.4461 0.2333
La 0.0000 0.3124 0.5006

## Properties
The uncorrected energy comes out at -4.10 eV/atom. The value obtained for the uncorrected formation energy is -4.437 eV/f.u. The value obtained for the magnetic moment is 0.00 μB/cell.

[2]
# LaPbBr2

A geometry-optimized LaPbBr2 structure (PBE-GGA, Alexandria via LeMat-Bulk).

a = 6.8305 Å, b = 6.8305 Å, c = 6.5105 Å
α = 53.48°, β = 53.48°, γ = 33.88°
Fractional positions:
Br 0.0131 0.0131 0.9737
Br 0.8011 0.8011 0.7902
Pb 0.2009 0.2009 0.3832
La 0.4849 0.4849 0.3529

## Properties
The uncorrected energy comes out at -4.09 eV/atom. The value obtained for the uncorrected formation energy is -4.397 eV/f.u. The value obtained for the magnetic moment is 0.00 μB/cell.

[3]
# LaPbBr2

A geometry-optimized LaPbBr2 structure (PBE-GGA, Alexandria via LeMat-Bulk).

a = 3.6000 Å, b = 3.6013 Å, c = 11.5750 Å
α = 90.00°, β = 90.00°, γ = 90.00°
Fractional positions:
Br 0.0000 0.0000 0.4051
Br 0.0000 0.0000 0.0949
Pb 0.5000 0.5000 0.7500
La 0.5000 0.5000 0.2500

## Properties
The uncorrected energy comes out at -4.08 eV/atom. The value obtained for the uncorrected formation energy is -4.331 eV/f.u. The value obtained for the magnetic moment is 0.00 μB/cell.

[4]
# LaPbBr

A geometry-optimized LaPbBr structure (PBE-GGA, Alexandria via LeMat-Bulk).

a = 5.2554 Å, b = 5.2554 Å, c = 3.9541 Å
α = 90.00°, β = 90.00°, γ = 120.00°
Fractional positions:
Pb 0.3333 0.6667 0.6667
La 0.6667 0.3333 0.1665
Br 0.0000 0.0000 0.1667

## Properties
The uncorrected energy comes out at -4.18 eV/atom. The value obtained for the uncorrected formation energy is -2.225 eV/f.u. The value obtained for the magnetic moment is 0.00 μB/cell.

[5]
# La2PbBr

A geometry-optimized La2PbBr structure (PBE-GGA, Alexandria via LeMat-Bulk).

a = 8.3546 Å, b = 8.3546 Å, c = 8.3546 Å
α = 153.71°, β = 148.88°, γ = 41.18°
Fractional positions:
Br 0.7901 0.2901 0.5000
La 0.2040 0.7040 0.5000
La 0.9523 0.9523 0.0000
Pb 0.5536 0.5536 0.0000

## Properties
The uncorrected energy comes out at -4.66 eV/atom. The value obtained for the uncorrected formation energy is -3.392 eV/f.u. The value obtained for the magnetic moment is 0.01 μB/cell.

[6]
# La4Pb3Br

A geometry-optimized La4Pb3Br structure (PBE-GGA, Alexandria via LeMat-Bulk).

a = 6.5423 Å, b = 6.5423 Å, c = 8.0116 Å
α = 114.10°, β = 114.10°, γ = 90.00°
Fractional positions:
Pb 0.2500 0.7500 0.5000
Pb 0.7500 0.2500 0.5000
Pb 0.5000 0.5000 0.0000
La 0.2492 0.2492 0.4984
La 0.5000 0.0000 0.0000
La 0.0000 0.5000 0.0000
La 0.7508 0.7508 0.5016
Br 0.0000 0.0000 0.0000

## Properties
The uncorrected energy comes out at -4.86 eV/atom. The value obtained for the uncorrected formation energy is -6.384 eV/f.u. The value obtained for the magnetic moment is 0.00 μB/cell.

[7]
# LaPbBr2

A geometry-optimized LaPbBr2 structure (PBE-GGA, Alexandria via LeMat-Bulk).

a = 5.4653 Å, b = 5.4653 Å, c = 5.4653 Å
α = 60.00°, β = 60.00°, γ = 60.00°
Fractional positions:
Br 0.7500 0.7500 0.7500
Br 0.2500 0.2500 0.2500
La 0.0000 0.0000 0.0000
Pb 0.5000 0.5000 0.5000

## Properties
The uncorrected energy comes out at -3.81 eV/atom. The value obtained for the uncorrected formation energy is -3.266 eV/f.u. The value obtained for the magnetic moment is 0.00 μB/cell.

[8]
# La4PbBr5

A geometry-optimized La4PbBr5 structure (PBE-GGA, Alexandria via LeMat-Bulk).

a = 4.3198 Å, b = 9.2152 Å, c = 9.6608 Å
α = 100.24°, β = 102.92°, γ = 90.00°
Each line ends with the local moment (μB).
Fractional positions:
Br 0.1682 0.3059 0.3365  0.00
Br 0.5000 0.5000 0.0000  0.00
Br 0.1627 0.8091 0.3254  0.01
Br 0.8318 0.6941 0.6635  0.00
Br 0.8373 0.1909 0.6746  0.01
La 0.9965 0.7510 0.9929  0.01
La 0.0035 0.2490 0.0071  0.01
La 0.3275 0.9365 0.6550  0.23
La 0.6725 0.0635 0.3450  0.23
Pb 0.5000 0.0000 0.0000  0.00

## Properties
The uncorrected energy comes out at -4.65 eV/atom. The value obtained for the uncorrected formation energy is -14.703 eV/f.u. The value obtained for the magnetic moment is 1.08 μB/cell.